# Y2BeTl (meta-GGA SCAN, PBEsol geometry)
data_Y2BeTl
_chemical_formula_sum 'Y2 Be1 Tl1'
_cell_length_a 6.023
_cell_length_b 6.023
_cell_length_c 6.023
_cell_angle_alpha 145.40
_cell_angle_beta 132.42
_cell_angle_gamma 60.15
_symmetry_space_group_name_H-M 'P 1'
_symmetry_Int_Tables_number 1
loop_
_symmetry_equiv_pos_as_xyz
'x,y,z'
loop_
_atom_site_label
_atom_site_type_symbol
_atom_site_fract_x
_atom_site_fract_y
_atom_site_fract_z
_atom_site_occupancy
Y1 Y 0.000 0.000 0.000 1
Y2 Y 0.723 0.223 0.500 1
Be1 Be 0.254 0.754 0.500 1
Tl1 Tl 0.432 0.432 0.000 1
# * relative energy among the computed polymorphs: 0.32 eV/f.u.
# * space-group type: Imm2, No. 44
# * DFT formation energy: -0.197 eV per atom